(1)
Entry from Alexandria: a geometry-optimized CuBi3H structure (PBE).

Output
Total energy in eV per atom: -2.99
Space group: Pm-3m

```
CuBi3H
1.0
5.285 0.000 0.000
0.000 5.285 0.000
0.000 0.000 5.285
Cu Bi H
1 3 1
direct
0.000 0.000 0.000
0.000 0.000 0.500
0.000 0.500 0.000
0.500 0.000 0.000
0.500 0.500 0.500
```

=====

(2)
Entry from Alexandria: a geometry-optimized La2BeW structure (PBE).

Output
Calculated formation energy in eV/f.u.: 4.85
Space group: I-42d

```
La2BeW
1.0
-2.077 2.077 10.432
2.077 -2.077 10.432
2.077 2.077 -10.432
La Be W
4 2 2
direct
0.117 0.625 0.992
0.375 0.367 0.492
0.633 0.125 0.008
0.875 0.883 0.508
0.250 0.750 0.500
0.500 0.500 0.000
0.000 0.000 0.000
0.750 0.250 0.500
```

=====

(3)
Entry from Alexandria: a geometry-optimized RbLi2Cu2As2 structure (PBE).

Output
Calculated formation energy in eV/f.u.: -3.03
Space group: R-3m

```
RbLi2Cu2As2
1.0
2.079 1.200 9.394
-2.079 1.200 9.394
0.000 -2.400 9.394
Rb Li Cu As
1 2 2 2
direct
0.000 0.000 0.000
0.143 0.143 0.143
0.857 0.857 0.857
0.437 0.437 0.437
0.563 0.563 0.563
0.238 0.238 0.238
0.762 0.762 0.762
```

=====

(4)
Entry from Alexandria: a geometry-optimized Ac2PaTe5Pd structure (PBE).

Output
Space group: Cmc2_1
Formation energy from raw total energies in meV/atom: -1190

```
Ac2PaTe5Pd
1.0
2.222 -9.764 0.000
2.222 9.764 0.000
0.000 0.000 13.483
Ac Pa Te Pd
4 2 10 2
direct
0.115 0.885 0.500
0.119 0.881 0.122
0.881 0.119 0.622
0.885 0.115 0.000
0.184 0.816 0.815
0.816 0.184 0.315
0.037 0.963 0.863
0.296 0.704 0.476
0.301 0.699 0.152
0.348 0.652 0.812
0.498 0.502 0.087
0.502 0.498 0.587
0.652 0.348 0.312
0.699 0.301 0.652
0.704 0.296 0.976
0.963 0.037 0.363
0.418 0.582 0.257
0.582 0.418 0.757
```

=====

(5)
Entry from Alexandria: a geometry-optimized Pm7Nd12Y structure (PBE).

Output
Calculated formation energy in eV/f.u.: 4.36
Space group: R-3

```
Pm7Nd12Y
1.0
6.181 3.569 5.367
-6.181 3.569 5.367
0.000 -7.137 5.367
Pm Nd Y
7 12 1
direct
0.000 0.000 0.000
0.107 0.426 0.351
0.351 0.107 0.426
0.426 0.351 0.107
0.574 0.649 0.893
0.649 0.893 0.574
0.893 0.574 0.649
0.009 0.885 0.363
0.115 0.637 0.991
0.224 0.353 0.755
0.245 0.776 0.647
0.353 0.755 0.224
0.363 0.009 0.885
0.637 0.991 0.115
0.647 0.245 0.776
0.755 0.224 0.353
0.776 0.647 0.245
0.885 0.363 0.009
0.991 0.115 0.637
0.500 0.500 0.500
```

=====

(6)
Entry from Alexandria: a geometry-optimized Ta3MnGe structure (PBE).

Output
Calculated formation energy in eV/f.u.: 3.70
Space group: Pm-3m

```
Ta3MnGe
1.0
4.610 0.000 0.000
0.000 4.610 0.000
0.000 0.000 4.610
Ta Mn Ge
3 1 1
direct
0.000 0.000 0.500
0.000 0.500 0.000
0.500 0.000 0.000
0.000 0.000 0.000
0.500 0.500 0.500
```

=====

(7)
Entry from Alexandria: a geometry-optimized BaMg3Hg3 structure (PBE).

Output
Calculated formation energy in eV/f.u.: -0.65
Space group: Pm-3n

```
BaMg3Hg3
1.0
7.694 0.000 0.000
0.000 7.694 0.000
0.000 0.000 7.694
Ba Mg Hg
2 6 6
direct
0.000 0.000 0.000
0.500 0.500 0.500
0.000 0.250 0.500
0.000 0.750 0.500
0.250 0.500 0.000
0.500 0.000 0.250
0.500 0.000 0.750
0.750 0.500 0.000
0.000 0.500 0.250
0.000 0.500 0.750
0.250 0.000 0.500
0.500 0.250 0.000
0.500 0.750 0.000
0.750 0.000 0.500
```

=====

(8)
Entry from Alexandria: a geometry-optimized NbPtNF2 structure (PBE).

Output
Space group: P4/mmm
Formation energy from raw total energies in meV/atom: -620

```
NbPtNF2
1.0
4.098 0.000 0.000
0.000 4.098 0.000
0.000 0.000 4.100
Nb Pt N F
1 1 1 2
direct
0.000 0.000 0.000
0.500 0.500 0.500
0.000 0.000 0.500
0.000 0.500 0.000
0.500 0.000 0.000
```